Zr3InN PBE optimized geometry; theoretical density = 4.937 g cm⁻³; D(E_F) = 3.376 states/eV/f.u.; energy relative to the elements, uncorrected = 0.80 eV/atom; energy = -0.2405 Ha/atom
1.0
-2.427 2.427 11.495
2.427 -2.427 11.495
2.427 2.427 -11.495
Zr In N
6 2 2
direct
0.187 0.187 0.000 Zr
0.373 0.130 0.757 Zr
0.373 0.617 0.243 Zr
0.383 0.627 0.757 Zr
0.813 0.813 0.000 Zr
0.870 0.627 0.243 Zr
0.250 0.750 0.500 In
0.500 0.500 0.000 In
0.654 0.154 0.500 N
0.846 0.346 0.500 N



Zr3InN PBE optimized geometry; theoretical density = 6.968 g cm⁻³; D(E_F) = 1.942 states/eV/f.u.; energy relative to the elements, uncorrected = -0.84 eV/atom; energy = -0.3007 Ha/atom
1.0
5.974 -1.637 0.000
5.974 1.637 0.000
-5.241 0.000 9.811
Zr In N
6 2 2
direct
0.120 0.120 0.229 Zr
0.131 0.131 0.731 Zr
0.370 0.370 0.016 Zr
0.630 0.630 0.984 Zr
0.869 0.869 0.269 Zr
0.880 0.880 0.771 Zr
0.377 0.377 0.520 In
0.623 0.623 0.480 In
0.251 0.251 0.130 N
0.749 0.749 0.870 N



ZrIn2N PBE optimized geometry; theoretical density = 6.404 g cm⁻³; D(E_F) = 3.387 states/eV/f.u.; energy relative to the elements, uncorrected = 0.14 eV/atom; energy = -0.2004 Ha/atom
1.0
-4.482 4.482 2.161
4.482 -4.482 2.161
4.482 4.482 -2.161
Zr In N
2 4 2
direct
0.000 0.000 0.000 Zr
0.750 0.250 0.500 Zr
0.239 0.625 0.114 In
0.375 0.489 0.614 In
0.511 0.125 0.886 In
0.875 0.761 0.386 In
0.250 0.750 0.500 N
0.500 0.500 0.000 N



Zr3InN PBE optimized geometry; theoretical density = 6.125 g cm⁻³; D(E_F) = 5.320 states/eV/f.u.; energy relative to the elements, uncorrected = -0.58 eV/atom; energy = -0.2911 Ha/atom
1.0
0.000 6.021 6.021
6.021 0.000 6.021
6.021 6.021 0.000
Zr In N
12 4 4
direct
0.059 0.059 0.691 Zr
0.059 0.691 0.059 Zr
0.059 0.691 0.691 Zr
0.309 0.309 0.941 Zr
0.309 0.941 0.309 Zr
0.309 0.941 0.941 Zr
0.691 0.059 0.059 Zr
0.691 0.059 0.691 Zr
0.691 0.691 0.059 Zr
0.941 0.309 0.309 Zr
0.941 0.309 0.941 Zr
0.941 0.941 0.309 Zr
0.000 0.500 0.500 In
0.500 0.000 0.500 In
0.500 0.500 0.000 In
0.500 0.500 0.500 In
0.000 0.000 0.000 N
0.000 0.000 0.500 N
0.000 0.500 0.000 N
0.500 0.000 0.000 N



Zr3InN PBE optimized geometry; theoretical density = 7.096 g cm⁻³; D(E_F) = 2.338 states/eV/f.u.; energy relative to the elements, uncorrected = -0.82 eV/atom; energy = -0.3000 Ha/atom
1.0
3.257 0.000 0.000
1.433 7.242 0.000
0.051 0.633 7.988
Zr In N
6 2 2
direct
0.000 0.000 0.000 Zr
0.131 0.276 0.250 Zr
0.194 0.114 0.626 Zr
0.500 0.500 0.500 Zr
0.806 0.886 0.374 Zr
0.869 0.724 0.750 Zr
0.487 0.357 0.878 In
0.513 0.643 0.122 In
0.332 0.813 0.563 N
0.668 0.187 0.437 N



Zr3InN PBE optimized geometry; theoretical density = 6.259 g cm⁻³; D(E_F) = 3.835 states/eV/f.u.; energy relative to the elements, uncorrected = -0.56 eV/atom; energy = -0.2904 Ha/atom
1.0
7.305 -4.997 0.000
7.305 4.997 0.000
-1.451 0.000 5.851
Zr In N
12 4 4
direct
0.021 0.242 0.115 Zr
0.077 0.583 0.373 Zr
0.242 0.021 0.615 Zr
0.268 0.375 0.916 Zr
0.375 0.268 0.416 Zr
0.417 0.923 0.127 Zr
0.583 0.077 0.873 Zr
0.625 0.732 0.584 Zr
0.732 0.625 0.084 Zr
0.758 0.979 0.385 Zr
0.923 0.417 0.627 Zr
0.979 0.758 0.885 Zr
0.335 0.665 0.750 In
0.357 0.643 0.250 In
0.643 0.357 0.750 In
0.665 0.335 0.250 In
0.105 0.235 0.806 N
0.235 0.105 0.306 N
0.765 0.895 0.694 N
0.895 0.765 0.194 N



Zr3InN PBE optimized geometry; theoretical density = 3.991 g cm⁻³; D(E_F) = 5.373 states/eV/f.u.; energy relative to the elements, uncorrected = 0.63 eV/atom; energy = -0.2465 Ha/atom
1.0
3.206 1.851 4.702
-3.206 1.851 4.702
0.000 -3.703 4.702
Zr In N
3 1 1
direct
0.012 0.494 0.494 Zr
0.494 0.012 0.494 Zr
0.494 0.494 0.012 Zr
0.505 0.505 0.505 In
0.262 0.262 0.262 N



Zr3InN PBE optimized geometry; theoretical density = 6.532 g cm⁻³; D(E_F) = 3.586 states/eV/f.u.; energy relative to the elements, uncorrected = -0.67 eV/atom; energy = -0.2945 Ha/atom
1.0
7.899 -1.640 0.000
7.899 1.640 0.000
-4.209 0.000 7.898
Zr In N
6 2 2
direct
0.055 0.055 0.319 Zr
0.262 0.262 0.367 Zr
0.397 0.397 0.943 Zr
0.603 0.603 0.057 Zr
0.738 0.738 0.633 Zr
0.945 0.945 0.681 Zr
0.161 0.161 0.823 In
0.839 0.839 0.177 In
0.342 0.342 0.652 N
0.658 0.658 0.348 N



Zr6InN PBE optimized geometry; theoretical density = 6.671 g cm⁻³; D(E_F) = 7.074 states/eV/f.u.; energy relative to the elements, uncorrected = -0.47 eV/atom; energy = -0.3038 Ha/atom
1.0
5.267 0.000 0.000
0.074 5.877 0.000
2.317 0.921 5.437
Zr In N
6 1 1
direct
0.056 0.301 0.341 Zr
0.185 0.822 0.054 Zr
0.410 0.396 0.772 Zr
0.590 0.604 0.228 Zr
0.815 0.178 0.946 Zr
0.944 0.699 0.659 Zr
0.500 0.000 0.500 In
0.000 0.500 0.000 N



Zr6In2N PBE optimized geometry; theoretical density = 7.111 g cm⁻³; D(E_F) = 13.474 states/eV/f.u.; energy relative to the lowest polymorph listed for this composition = 0 meV/atom; energy relative to the elements, uncorrected = -0.55 eV/atom; energy = -0.2859 Ha/atom
1.0
0.000 4.520 4.520
4.520 0.000 4.520
4.520 4.520 0.000
Zr In N
6 2 1
direct
0.247 0.247 0.753 Zr
0.247 0.753 0.247 Zr
0.247 0.753 0.753 Zr
0.753 0.247 0.247 Zr
0.753 0.247 0.753 Zr
0.753 0.753 0.247 Zr
0.250 0.250 0.250 In
0.750 0.750 0.750 In
0.500 0.500 0.500 N



Zr3InN PBE optimized geometry; theoretical density = 7.036 g cm⁻³; D(E_F) = 3.640 states/eV/f.u.; energy relative to the elements, uncorrected = -0.85 eV/atom; energy = -0.3010 Ha/atom
1.0
3.340 0.000 0.000
0.000 4.435 0.000
0.000 0.000 6.414
Zr In N
3 1 1
direct
0.000 0.000 0.000 Zr
0.500 0.500 0.240 Zr
0.500 0.500 0.760 Zr
0.000 0.000 0.500 In
0.000 0.500 0.000 N